# ZnTe2Pt

Crystalline ZnTe2Pt at its relaxed geometry (PBE-GGA, Alexandria).

Lattice parameters (Å, degrees): 3.9825 3.0850 8.2399 105.70 90.00 90.00
With the nearest neighbours (Å) after each atom.
Positions (direct):
Pt 0.5000 0.7500 0.7500  4 Te 2.68
Te 0.0000 0.8900 0.9754  2 Pt 2.68, 2 Zn 2.99
Te 0.0000 0.6100 0.5246  2 Pt 2.68, 2 Zn 2.99
Zn 0.5000 0.2500 0.2500  4 Te 2.99, 2 Zn 3.08

Summary:
E (eV per atom): -3.46
Formation energy without anion corrections (meV/atom): -57
V (A^3/atom): 24.36
Calculated density (g/cm3): 8.79